No. 1
Computed, not measured: Li2AgSb after structural relaxation at the GGA-PBE level of DFT.

a b c (Å): 3.3177 3.3177 25.1807
angles (deg): 90.00 90.00 120.00
With the nearest neighbours (Å) after each atom.
Space group R-3m (No. 166, hexagonal axes)
Asymmetric unit:
Li (0.0000, 0.0000, 0.2493)  3 Ag 2.83, 3 Sb 2.86
Ag (0.0000, 0.0000, 0.5000)  6 Li 2.83
Sb (0.0000, 0.0000, 0.0000)  6 Li 2.86

Summary:
Fermi-level density of states: 0.565 states/eV per atom
volume: 20.00 A^3/atom
formation energy (no corrections): -0.1682 eV per atom

No. 2
Computed, not measured: LiTmPd after structural relaxation at the GGA-PBE level of DFT.

a b c (Å): 4.8482 4.8510 10.2442
angles (deg): 90.00 90.09 90.00
With the nearest neighbours (Å) after each atom.
Space group Cm (No. 8)
Asymmetric unit:
Li (0.0000, 0.0000, 0.0000)  4 Li 2.78-2.79, 4 Pd 2.80-2.82, 1 Tm 3.00
Li (0.0006, 0.5000, 0.8654)  4 Li 2.78-2.79, 1 Pd 2.79
Tm (0.0005, 0.0000, 0.6322)  4 Pd 2.92-2.93
Tm (0.4990, 0.5000, 0.2930)  8 Pd 2.90-3.04, 1 Li 3.00
Pd (0.9997, 0.5000, 0.4726)  8 Tm 2.92-3.04
Pd (0.4985, 0.0000, 0.1381)  5 Li 2.79-2.82, 4 Tm 2.90

Summary:
Fermi-level density of states: 0.617 states/eV per atom
volume: 20.08 A^3/atom
energy of formation: -52.9 kJ per mole of atoms
distance to the lowest polymorph of the same formula: 81 meV/atom

No. 3
Computed, not measured: SmDy4Cd2 after structural relaxation at the GGA-PBE level of DFT.

a b c (Å): 5.0912 5.0912 30.9546
angles (deg): 90.00 90.00 120.00
With the nearest neighbours (Å) after each atom.
Space group R-3m (No. 166, hexagonal axes)
Asymmetric unit:
Sm (0.0000, 0.0000, 0.0000)  2 Cd 3.12, 6 Dy 3.49
Dy (0.0000, 0.0000, 0.2024)  4 Cd 3.08-3.15
Dy (0.0000, 0.0000, 0.3941)  3 Cd 3.19, 3 Sm 3.49
Cd (0.0000, 0.0000, 0.1007)  7 Dy 3.08-3.19, 1 Sm 3.12

Summary:
Fermi-level density of states: 1.550 states/eV per atom
volume: 33.09 A^3/atom
energy of formation: 20.7 kJ per mole of atoms

No. 4
Computed, not measured: Dy6RhSe5 after structural relaxation at the GGA-PBE level of DFT.

a b c (Å): 7.1168 12.3084 7.0681
angles (deg): 90.00 109.64 90.00
With the nearest neighbours (Å) after each atom.
Space group C2/m (No. 12)
Asymmetric unit:
Dy (0.2361, 0.0000, 0.2580)  1 Rh 2.77, 5 Se 2.90-3.03
Dy (0.2361, 0.1585, 0.7363)  1 Rh 2.75, 5 Se 2.90-2.97
Rh (0.0000, 0.0000, 0.5000)  6 Dy 2.75-2.77
Se (0.0000, 0.1755, 0.0000)  6 Dy 2.91-2.97
Se (0.0000, 0.3347, 0.5000)  6 Dy 2.90
Se (0.0000, 0.5000, 0.0000)  6 Dy 2.91-3.03

Summary:
Fermi-level density of states: 0.627 states/eV per atom
volume: 24.30 A^3/atom
formation energy (no corrections): -1.6163 eV per atom

No. 5
Computed, not measured: KNa3Pb after structural relaxation at the GGA-PBE level of DFT.

a b c (Å): 6.0847 6.0847 6.0847
angles (deg): 90.00 90.00 90.00
With the nearest neighbours (Å) after each atom.
Space group Pm-3m (No. 221)
Asymmetric unit:
K (0.0000, 0.0000, 0.0000)  12 Na 4.30
Na (0.0000, 0.5000, 0.5000)  2 Pb 3.04
Pb (0.5000, 0.5000, 0.5000)  6 Na 3.04

Summary:
Fermi-level density of states: 0.241 states/eV per atom
volume: 45.06 A^3/atom
energy of formation: -4.1 kJ per mole of atoms
distance to the lowest polymorph of the same formula: 81 meV/atom

No. 6
Computed, not measured: Cs2TlSiBr6 after structural relaxation at the GGA-PBE level of DFT.

a b c (Å): 8.1038 8.1038 11.4268
angles (deg): 90.00 90.00 90.00
With the nearest neighbours (Å) after each atom.
Space group I4/mmm (No. 139)
Asymmetric unit:
Cs (0.0000, 0.5000, 0.2500)  12 Br 4.06
Tl (0.0000, 0.0000, 0.0000)  6 Br 3.14-3.15
Si (0.0000, 0.0000, 0.5000)  6 Br 2.58
Br (0.0000, 0.0000, 0.2746)  1 Si 2.58
Br (0.2251, 0.2251, 0.5000)  1 Si 2.58

Summary:
Fermi-level density of states: 0.473 states/eV per atom
volume: 37.52 A^3/atom
formation energy (no corrections): -1.0869 eV per atom

No. 7
Computed, not measured: BaPdAu3 after structural relaxation at the GGA-PBE level of DFT.

a b c (Å): 6.0529 6.0529 6.0529
angles (deg): 90.00 90.00 90.00
With the nearest neighbours (Å) after each atom.
Space group Pm-3m (No. 221)
Asymmetric unit:
Ba (0.0000, 0.0000, 0.0000)  6 Au 3.03
Pd (0.5000, 0.5000, 0.5000)  12 Au 4.28
Au (0.0000, 0.0000, 0.5000)  2 Ba 3.03

Summary:
Fermi-level density of states: 2.344 states/eV per atom
volume: 44.35 A^3/atom
energy of formation: 98.7 kJ per mole of atoms
distance to the lowest polymorph of the same formula: 1483 meV/atom

No. 8
Computed, not measured: LiPm2Hg6 after structural relaxation at the GGA-PBE level of DFT.

a b c (Å): 7.4915 13.4983 4.4406
angles (deg): 90.00 90.00 90.00
With the nearest neighbours (Å) after each atom.
Space group Cmmm (No. 65)
Asymmetric unit:
Li (0.0000, 0.0000, 0.0000)  8 Hg 2.81-2.95
Pm (0.0000, 0.2147, 0.5000)  10 Hg 3.31-3.37, 2 Li 3.65
Hg (0.1968, 0.3606, 0.0000)  4 Hg 2.95-3.09, 1 Li 2.95
Hg (0.2302, 0.0000, 0.5000)  2 Li 2.81, 4 Hg 2.96

Summary:
Fermi-level density of states: 0.606 states/eV per atom
volume: 24.95 A^3/atom
energy of formation: -30.9 kJ per mole of atoms
distance to the lowest polymorph of the same formula: 41 meV/atom

No. 9
Computed, not measured: TaVFe4 after structural relaxation at the GGA-PBE level of DFT.

a b c (Å): 6.7060 6.7060 6.7060
angles (deg): 90.00 90.00 90.00
With the nearest neighbours (Å) after each atom.
Space group F-43m (No. 216)
Asymmetric unit:
Ta (0.0000, 0.0000, 0.0000)  12 Fe 2.78, 4 V 2.90
V (0.2500, 0.2500, 0.2500)  12 Fe 2.78, 4 Ta 2.90
Fe (0.1249, 0.1249, 0.6249)  6 Fe 2.37

Summary:
Fermi-level density of states: 1.558 states/eV per atom
volume: 12.57 A^3/atom
energy of formation: -12.5 kJ per mole of atoms

No. 10
Computed, not measured: MgAl2Cd after structural relaxation at the GGA-PBE level of DFT.

a b c (Å): 3.7152 3.7152 5.8685
angles (deg): 90.00 90.00 90.00
With the nearest neighbours (Å) after each atom.
Space group P4/mmm (No. 123)
Asymmetric unit:
Mg (0.0000, 0.0000, 0.0000)  2 Cd 2.93, 8 Al 3.01
Al (0.5000, 0.5000, 0.2515)  2 Al 2.92-2.95, 4 Cd 3.00, 4 Mg 3.01
Cd (0.0000, 0.0000, 0.5000)  2 Mg 2.93, 8 Al 3.00

Summary:
Fermi-level density of states: 0.550 states/eV per atom
volume: 20.25 A^3/atom
energy of formation: 12.7 kJ per mole of atoms

No. 11
Computed, not measured: VPdRh2 after structural relaxation at the GGA-PBE level of DFT.

a b c (Å): 4.3212 5.5442 4.7177
angles (deg): 90.00 90.00 90.00
With the nearest neighbours (Å) after each atom.
Space group Pmmn (No. 59, origin choice 2)
Asymmetric unit:
V (0.2500, 0.2500, 0.1842)  8 Rh 2.66-2.77, 4 Pd 2.72-2.77
Pd (0.2500, 0.7500, 0.1644)  8 Rh 2.67-2.78, 4 V 2.72-2.77
Rh (0.2500, 0.0021, 0.6742)  4 V 2.66-2.77, 4 Pd 2.67-2.78, 4 Rh 2.71-2.80

Summary:
Fermi-level density of states: 1.207 states/eV per atom
volume: 14.13 A^3/atom
energy of formation: -27.2 kJ per mole of atoms

No. 12
Computed, not measured: CePmY2 after structural relaxation at the GGA-PBE level of DFT.

a b c (Å): 3.5704 3.5704 10.1114
angles (deg): 90.00 90.00 90.00
With the nearest neighbours (Å) after each atom.
Space group P4/mmm (No. 123)
Asymmetric unit:
Ce (0.0000, 0.0000, 0.0000)  8 Y 3.52, 4 Ce 3.57
Pm (0.0000, 0.0000, 0.5000)  4 Pm 3.57, 8 Y 3.63
Y (0.5000, 0.5000, 0.2423)  4 Ce 3.52, 4 Y 3.57, 4 Pm 3.63

Summary:
Fermi-level density of states: 2.069 states/eV per atom
volume: 32.22 A^3/atom
energy of formation: 6.5 kJ per mole of atoms
distance to the lowest polymorph of the same formula: 12 meV/atom

No. 13
Computed, not measured: YCuBi2 after structural relaxation at the GGA-PBE level of DFT.

a b c (Å): 7.4782 7.4782 7.4782
angles (deg): 90.00 90.00 90.00
With the nearest neighbours (Å) after each atom.
Space group Fm-3m (No. 225)
Asymmetric unit:
Y (0.0000, 0.0000, 0.0000)  8 Bi 3.24
Cu (0.0000, 0.0000, 0.5000)  8 Bi 3.24
Bi (0.2500, 0.2500, 0.2500)  4 Cu 3.24, 4 Y 3.24

Summary:
Fermi-level density of states: 1.057 states/eV per atom
volume: 26.14 A^3/atom
energy of formation: -3.2 kJ per mole of atoms